No. 1
! Tl5Br3Cl2 | Alexandria via LeMat-Bulk | PBE-GGA | optimized geometry; values from VASP
&SYSTEM
  ibrav = 0, nat = 10, ntyp = 3
/
ATOMIC_SPECIES
Tl 204.38 Tl.upf
Br 79.90 Br.upf
Cl 35.45 Cl.upf
CELL_PARAMETERS angstrom
7.812 -2.346 0.000
7.812 2.346 0.000
-5.685 0.000 10.019
ATOMIC_POSITIONS crystal
Tl 0.000 0.000 0.000
Tl 0.198 0.198 0.810
Tl 0.403 0.403 0.607
Tl 0.597 0.597 0.393
Tl 0.802 0.802 0.190
Br 0.000 0.000 0.500
Br 0.205 0.205 0.299
Br 0.795 0.795 0.701
Cl 0.402 0.402 0.096
Cl 0.598 0.598 0.904
! VASP energy, eV/atom: -2.9762
! D(E_F), states/eV/atom: 0.000
! Energy relative to the elements, uncorrected, eV per atom: -0.92

***

No. 2
! Tl6Br5Cl2 | Alexandria via LeMat-Bulk | PBE-GGA | optimized geometry; values from VASP
&SYSTEM
  ibrav = 0, nat = 26, ntyp = 3
/
ATOMIC_SPECIES
Tl 204.38 Tl.upf
Br 79.90 Br.upf
Cl 35.45 Cl.upf
CELL_PARAMETERS angstrom
12.891 0.000 0.000
0.000 15.510 0.000
0.000 0.000 4.707
ATOMIC_POSITIONS crystal
Tl 0.008 0.115 0.000
Tl 0.172 0.376 0.000
Tl 0.180 0.628 0.500
Tl 0.320 0.128 0.500
Tl 0.328 0.876 0.000
Tl 0.492 0.615 0.000
Tl 0.508 0.385 0.000
Tl 0.672 0.124 0.000
Tl 0.680 0.872 0.500
Tl 0.820 0.372 0.500
Tl 0.828 0.624 0.000
Tl 0.992 0.885 0.000
Br 0.000 0.500 0.500
Br 0.112 0.232 0.500
Br 0.167 0.967 0.500
Br 0.333 0.467 0.500
Br 0.388 0.732 0.500
Br 0.500 0.000 0.500
Br 0.612 0.268 0.500
Br 0.667 0.533 0.500
Br 0.833 0.033 0.500
Br 0.888 0.768 0.500
Cl 0.140 0.733 0.000
Cl 0.360 0.233 0.000
Cl 0.640 0.767 0.000
Cl 0.860 0.267 0.000
! VASP energy, eV/atom: -2.8203
! D(E_F), states/eV/atom: 0.412
! Energy relative to the elements, uncorrected, eV per atom: -0.80